(1)
A relaxed Ce3PmTh2Sb6 crystal, computed with GGA-PBE.

Total DFT energy (no corrections), eV per atom: -6.2180
Space-group type: C2/m

a b c (Å): 7.7874 7.7874 7.8273
angles (deg): 99.54 99.54 120.00
Last column: nearest neighbours and their distance in Å.
Fractional coordinates of all 12 atoms:
Ce 0.0000 0.0000 0.0000  6 Sb 3.18
Ce 0.3333 0.6667 0.0000  6 Sb 3.18-3.19
Ce 0.6667 0.3333 0.0000  6 Sb 3.18-3.19
Pm 0.5000 0.5000 0.5000  6 Sb 3.18-3.19
Th 0.1666 0.8334 0.5000  6 Sb 3.19
Th 0.8334 0.1666 0.5000  6 Sb 3.19
Sb 0.0835 0.4167 0.2500  3 Ce 3.18-3.19, 1 Pm 3.18, 2 Th 3.19
Sb 0.2504 0.2504 0.7507  3 Ce 3.18, 1 Pm 3.19, 2 Th 3.19
Sb 0.4167 0.0835 0.2500  3 Ce 3.18-3.19, 1 Pm 3.18, 2 Th 3.19
Sb 0.5833 0.9165 0.7500  3 Ce 3.18-3.19, 1 Pm 3.18, 2 Th 3.19
Sb 0.7496 0.7496 0.2493  3 Ce 3.18, 1 Pm 3.19, 2 Th 3.19
Sb 0.9165 0.5833 0.7500  3 Ce 3.18-3.19, 1 Pm 3.18, 2 Th 3.19

(2)
A relaxed CaTh3In4 crystal, computed with GGA-PBE.

Total DFT energy (no corrections), eV per atom: -4.6790
Space-group type: Pmmm
Energy of formation, meV per atom: -277

a b c (Å): 3.4875 5.7802 11.5119
angles (deg): 90.00 90.00 90.00
Last column: nearest neighbours and their distance in Å.
Fractional coordinates of all 8 atoms:
Ca 0.0000 0.0000 0.0000  8 In 3.31-3.38, 2 Ca 3.49
Th 0.0000 0.0000 0.5000  8 In 3.38-3.42, 2 Th 3.49
Th 0.0000 0.5000 0.2519  8 In 3.35-3.38, 2 Th 3.49
Th 0.0000 0.5000 0.7481  8 In 3.35-3.38, 2 Th 3.49
In 0.5000 0.0000 0.2445  2 Ca 3.31, 6 Th 3.38-3.42, 2 In 3.49
In 0.5000 0.0000 0.7555  2 Ca 3.31, 6 Th 3.38-3.42, 2 In 3.49
In 0.5000 0.5000 0.0000  4 Ca 3.38, 4 Th 3.38, 2 In 3.49
In 0.5000 0.5000 0.5000  8 Th 3.35-3.38, 2 In 3.49

(3)
A relaxed MnFe2Rh9 crystal, computed with GGA-PBE.

Total DFT energy (no corrections), eV per atom: -7.7528
Space-group type: P4/mmm
Energy of formation, meV per atom: -65

a b c (Å): 3.8079 3.8079 11.4149
angles (deg): 90.00 90.00 90.00
Last column: nearest neighbours and their distance in Å.
Fractional coordinates of all 12 atoms:
Mn 0.0000 0.0000 0.0000  12 Rh 2.69
Fe 0.0000 0.0000 0.3332  12 Rh 2.69
Fe 0.0000 0.0000 0.6668  12 Rh 2.69
Rh 0.0000 0.5000 0.1671  2 Fe 2.69, 8 Rh 2.69, 2 Mn 2.69
Rh 0.0000 0.5000 0.5000  8 Rh 2.69, 4 Fe 2.69
Rh 0.0000 0.5000 0.8329  2 Fe 2.69, 8 Rh 2.69, 2 Mn 2.69
Rh 0.5000 0.0000 0.1671  2 Fe 2.69, 8 Rh 2.69, 2 Mn 2.69
Rh 0.5000 0.0000 0.5000  8 Rh 2.69, 4 Fe 2.69
Rh 0.5000 0.0000 0.8329  2 Fe 2.69, 8 Rh 2.69, 2 Mn 2.69
Rh 0.5000 0.5000 0.0000  4 Mn 2.69, 8 Rh 2.69
Rh 0.5000 0.5000 0.3333  8 Rh 2.69, 4 Fe 2.69
Rh 0.5000 0.5000 0.6667  8 Rh 2.69, 4 Fe 2.69

(4)
A relaxed WN crystal, computed with GGA-PBE.

Total DFT energy (no corrections), eV per atom: -10.7691
Space-group type: Imm2

a b c (Å): 5.6389 5.6389 5.6389
angles (deg): 151.24 61.22 127.22
Last column: nearest neighbours and their distance in Å.
Fractional coordinates of all 6 atoms:
W 0.0000 0.0000 0.0000  6 N 2.05-2.18
W 0.1946 0.9038 0.2909  4 N 2.08-2.14
W 0.6129 0.9038 0.7091  4 N 2.08-2.14
N 0.2995 0.7995 0.5000  4 W 2.05-2.10
N 0.6587 0.2927 0.3660  5 W 2.08-2.18
N 0.9267 0.2927 0.6340  5 W 2.08-2.18

(5)
A relaxed DyYCl6 crystal, computed with GGA-PBE.

Total DFT energy (no corrections), eV per atom: -5.0186
Space-group type: R-3

a b c (Å): 7.2414 7.2414 7.2414
angles (deg): 55.39 55.39 55.39
Last column: nearest neighbours and their distance in Å.
Fractional coordinates of all 8 atoms:
Dy 0.0000 0.0000 0.0000  6 Cl 2.66
Y 0.5000 0.5000 0.5000  6 Cl 2.66
Cl 0.1035 0.7503 0.3959  1 Dy 2.66, 1 Y 2.66
Cl 0.2497 0.6041 0.8965  1 Dy 2.66, 1 Y 2.66
Cl 0.3959 0.1035 0.7503  1 Dy 2.66, 1 Y 2.66
Cl 0.6041 0.8965 0.2497  1 Dy 2.66, 1 Y 2.66
Cl 0.7503 0.3959 0.1035  1 Dy 2.66, 1 Y 2.66
Cl 0.8965 0.2497 0.6041  1 Dy 2.66, 1 Y 2.66

(6)
A relaxed MgZnP2 crystal, computed with GGA-PBE.

Total DFT energy (no corrections), eV per atom: -3.3600
Space-group type: I-42d
Energy above the most stable polymorph in this dataset, eV per atom: 0.220
Energy of formation, meV per atom: 62

a b c (Å): 6.4960 6.4960 6.4960
angles (deg): 125.00 125.00 81.54
Last column: nearest neighbours and their distance in Å.
Fractional coordinates of all 8 atoms:
Mg 0.0000 0.0000 0.0000  4 P 2.57
Mg 0.7500 0.2500 0.5000  4 P 2.57
Zn 0.2500 0.7500 0.5000  4 P 2.35
Zn 0.5000 0.5000 0.0000  4 P 2.35
P 0.1550 0.6250 0.0300  2 Zn 2.35, 2 Mg 2.57
P 0.3750 0.4050 0.5300  2 Zn 2.35, 2 Mg 2.57
P 0.5950 0.1250 0.9700  2 Zn 2.35, 2 Mg 2.57
P 0.8750 0.8450 0.4700  2 Zn 2.35, 2 Mg 2.57

(7)
A relaxed CsCe4 crystal, computed with GGA-PBE.

Total DFT energy (no corrections), eV per atom: -3.7215
Space-group type: Pm-3m
Energy of formation, meV per atom: 1196

a b c (Å): 5.7865 5.7865 5.7865
angles (deg): 90.00 90.00 90.00
Last column: nearest neighbours and their distance in Å.
Fractional coordinates of all 5 atoms:
Cs 0.0000 0.0000 0.0000  6 Ce 2.89
Ce 0.0000 0.0000 0.5000  2 Cs 2.89
Ce 0.0000 0.5000 0.0000  2 Cs 2.89
Ce 0.5000 0.0000 0.0000  2 Cs 2.89
Ce 0.5000 0.5000 0.5000  12 Ce 4.09

(8)
A relaxed AcMgScPd2 crystal, computed with GGA-PBE.

Total DFT energy (no corrections), eV per atom: -5.1781
Space-group type: I-4m2
Energy of formation, meV per atom: -694

a b c (Å): 6.9465 6.9465 6.9465
angles (deg): 143.66 143.66 52.34
Last column: nearest neighbours and their distance in Å.
Fractional coordinates of all 5 atoms:
Ac 0.0000 0.0000 0.0000  8 Pd 3.37
Mg 0.7500 0.2500 0.5000  4 Pd 2.76, 4 Sc 3.06
Sc 0.2500 0.7500 0.5000  4 Pd 2.76, 4 Mg 3.06
Pd 0.3874 0.3874 0.0000  2 Mg 2.76, 2 Sc 2.76, 1 Pd 2.81
Pd 0.6126 0.6126 0.0000  2 Mg 2.76, 2 Sc 2.76, 1 Pd 2.81

(9)
A relaxed Cs2ZnHgAs crystal, computed with GGA-PBE.

Total DFT energy (no corrections), eV per atom: -1.7684
Space-group type: P4/mmm
Energy of formation, meV per atom: -182

a b c (Å): 7.2247 7.2247 4.8357
angles (deg): 90.00 90.00 90.00
Last column: nearest neighbours and their distance in Å.
Fractional coordinates of all 5 atoms:
Cs 0.0000 0.5000 0.0000  2 As 3.61
Cs 0.5000 0.0000 0.0000  2 As 3.61
Zn 0.0000 0.0000 0.5000  2 As 2.42
Hg 0.5000 0.5000 0.5000  8 Cs 4.35, 2 Hg 4.84
As 0.0000 0.0000 0.0000  2 Zn 2.42

(10)
A relaxed La2DyHf crystal, computed with GGA-PBE.

Total DFT energy (no corrections), eV per atom: -5.7274
Space-group type: R-3m
Energy above the most stable polymorph in this dataset, eV per atom: 0.198
Energy of formation, meV per atom: 375

a b c (Å): 12.4946 12.4946 12.4946
angles (deg): 15.56 15.56 15.56
Last column: nearest neighbours and their distance in Å.
Fractional coordinates of all 4 atoms:
La 0.0830 0.0830 0.0830  1 Hf 3.07, 6 La 3.38
La 0.9170 0.9170 0.9170  1 Hf 3.07, 6 La 3.38
Dy 0.5000 0.5000 0.5000  6 Dy 3.38, 6 La 3.66
Hf 0.0000 0.0000 0.0000  2 La 3.07, 6 Hf 3.38

(11)
A relaxed Ac2GaRuC crystal, computed with GGA-PBE.

Total DFT energy (no corrections), eV per atom: -6.1691
Space-group type: P2_1/m
Energy of formation, meV per atom: -220

a b c (Å): 6.7644 4.3678 9.2238
angles (deg): 90.00 110.17 90.00
Last column: nearest neighbours and their distance in Å.
Fractional coordinates of all 10 atoms:
Ac 0.2157 0.2500 0.3872  2 C 2.91, 1 Ru 3.19
Ac 0.2276 0.2500 0.9667  3 C 2.72-2.96
Ac 0.7724 0.7500 0.0333  3 C 2.72-2.96
Ac 0.7843 0.7500 0.6128  2 C 2.91, 1 Ru 3.19
Ga 0.3207 0.7500 0.7020  2 Ru 2.49
Ga 0.6793 0.2500 0.2980  2 Ru 2.49
Ru 0.4910 0.7500 0.2577  1 C 1.86
Ru 0.5090 0.2500 0.7423  1 C 1.86
C 0.1985 0.7500 0.1743  1 Ru 1.86
C 0.8015 0.2500 0.8257  1 Ru 1.86

(12)
A relaxed Sr2FeCo crystal, computed with GGA-PBE.

Total DFT energy (no corrections), eV per atom: -4.3115
Space-group type: P4mm
Energy above the most stable polymorph in this dataset, eV per atom: 0.224
Energy of formation, meV per atom: 422

a b c (Å): 3.4341 3.4341 8.9110
angles (deg): 90.00 90.00 90.00
Last column: nearest neighbours and their distance in Å.
Fractional coordinates of all 4 atoms:
Sr 0.0000 0.0000 0.0000  1 Co 2.91
Sr 0.5000 0.5000 0.4132  1 Fe 2.93
Fe 0.5000 0.5000 0.7418  4 Co 2.50
Co 0.0000 0.0000 0.6730  4 Fe 2.50